Entry 1:
Material: Ta3VF
Method: DFT, PBE with a Hubbard U
State: relaxed

```
Ta3VF
1.0
-2.1610 1.2770 -3.9819
3.2560 -2.2986 -2.5042
-2.6239 -3.9041 0.1720
V Ta F
1 3 1
Cartesian
0.0000 0.0000 0.0000 V
1.6280 -1.1493 -1.2521 Ta
-1.3119 -1.9521 0.0860 Ta
-1.0805 0.6385 -1.9910 Ta
-0.7645 -2.4629 -3.1571 F
```

Output
Crystal system ... cubic
Excess energy over the best structure of this formula in the dataset ... 1175 meV per atom
Calculated density ... 9.76 Mg/m³
Volume ... 104.29 Å³ per cell
DOS at the Fermi energy ... 1.41 states/eV/atom
SG ... Pm-3m (221)

Entry 2:
Material: SrMnBO4
Method: DFT, PBE with a Hubbard U
State: relaxed

```
SrMnBO4
1.0
5.4558 0.1086 0.0000
-2.0920 5.0400 0.0000
0.0000 0.0000 6.2875
Sr Mn B O
2 2 2 8
Cartesian
1.6819 2.5743 3.1437 Sr
1.6819 2.5743 0.0000 Sr
4.3049 0.8606 1.5719 Mn
-0.9411 4.2880 4.7156 Mn
-1.1089 4.3976 1.5719 B
4.4727 0.7510 4.7156 B
0.4442 1.1340 4.7156 O
2.5038 4.2863 4.7156 O
3.7817 1.2024 5.9594 O
3.7817 1.2024 3.4718 O
-0.4179 3.9462 0.3281 O
-0.4179 3.9462 2.8157 O
2.9196 4.0146 1.5719 O
0.8600 0.8623 1.5719 O
```

Output
Crystal system ... orthorhombic
Energy ... -7.1581 eV per atom
Calculated density ... 4.14 Mg/m³
Volume ... 174.32 Å³ per cell
DOS at the Fermi energy ... 0.57 states/eV/atom
SG ... Cmcm (63)